First-principles (PBE) data for a relaxed structure of Ge2MoSe, as listed in Alexandria via LeMat-Bulk.

Calculated values
The density of states at the Fermi level comes out at 4.06 states/eV/f.u. The value obtained for the final energy is -5.276 eV per atom.

Unit cell a=7.102 b=7.102 c=7.102 alpha=130.27 beta=130.27 gamma=72.98
Fractional positions:
1 Ge 0.102 0.625 0.977
2 Ge 0.375 0.352 0.477
3 Ge 0.648 0.125 0.023
4 Ge 0.875 0.898 0.523
5 Mo 0.000 0.000 0.000
6 Mo 0.750 0.250 0.500
7 Se 0.250 0.750 0.500
8 Se 0.500 0.500 0.000

=====

First-principles (PBE) data for a relaxed structure of GeMo2Se, as listed in Alexandria via LeMat-Bulk.

Calculated values
The density of states at the Fermi level comes out at 3.19 states/eV/f.u. As for the energy relative to the lowest polymorph listed for this composition: 0 meV per atom.

Unit cell a=4.436 b=4.436 c=4.436 alpha=60.00 beta=60.00 gamma=60.00
Fractional positions:
1 Ge 0.000 0.000 0.000
2 Mo 0.250 0.250 0.250
3 Mo 0.750 0.750 0.750
4 Se 0.500 0.500 0.500